! La3ErTl (PBE, relaxed); values from VASP
! Symmetry   No. 63
! Calculated density   8.12 g cm⁻³
! Formation energy   -13 kJ/mol of atoms
! Energy above the most stable polymorph in this dataset   0.0 meV/atom
! Total magnetization   0.000 μB/atom
! E   -44.814 eV per cell
&SYSTEM
  ibrav = 0, nat = 10, ntyp = 3
/
ATOMIC_SPECIES
Er 167.26 Er.upf
La 138.91 La.upf
Tl 204.38 Tl.upf
ATOMIC_POSITIONS crystal
Er 0.1722 0.2500 0.3040
La 0.5739 0.2500 0.5005
La 0.3827 0.2500 0.8829
Tl 0.6710 0.7500 0.3063
La 0.2656 0.7500 0.1171
La 0.0744 0.7500 0.4995
Er 0.4762 0.7500 0.6960
Tl 0.9773 0.2500 0.6937
La 0.8768 0.7500 0.8947
La 0.7716 0.2500 0.1053
CELL_PARAMETERS angstrom
-3.1162 -1.3816 -3.5944
2.7285 -4.0332 -0.8152
-8.7658 -7.3469 7.0101